# BaH3Ru

An optimized crystal structure of BaH3Ru (PBE, the Alexandria database).

The structure in CIF format:
```
data_BaH3Ru
_chemical_formula_sum 'Ba1 H3 Ru1'
_symmetry_space_group_name_H-M 'P 1'
_symmetry_Int_Tables_number 1
_cell_length_a 4.744
_cell_length_b 4.744
_cell_length_c 4.744
_cell_angle_alpha 90.00
_cell_angle_beta 90.00
_cell_angle_gamma 90.00
loop_
_symmetry_equiv_pos_as_xyz
'x,y,z'
loop_
_atom_site_label
_atom_site_fract_x
_atom_site_fract_y
_atom_site_fract_z
Ba1 0.000 0.000 0.000
H1 0.000 0.000 0.500
H2 0.000 0.500 0.000
H3 0.500 0.000 0.000
Ru1 0.500 0.500 0.500
```

Output
Energy = -2.9643 eV/atom
Theoretical density = 3755 kg/m³
Crystal system = cubic
Magnetic moment = 3.04 μB/f.u.

# MgTl2Si2Au7

An optimized crystal structure of MgTl2Si2Au7 (PBE, the Alexandria database).

The structure in CIF format:
```
data_MgTl2Si2Au7
_chemical_formula_sum 'Mg1 Tl2 Si2 Au7'
_symmetry_space_group_name_H-M 'P 1'
_symmetry_Int_Tables_number 1
_cell_length_a 4.165
_cell_length_b 4.165
_cell_length_c 15.678
_cell_angle_alpha 97.37
_cell_angle_beta 97.37
_cell_angle_gamma 90.27
loop_
_symmetry_equiv_pos_as_xyz
'x,y,z'
loop_
_atom_site_label
_atom_site_fract_x
_atom_site_fract_y
_atom_site_fract_z
Mg1 0.000 0.000 0.000
Tl1 0.209 0.209 0.420
Tl2 0.791 0.791 0.580
Si1 0.390 0.390 0.774
Si2 0.610 0.610 0.226
Au1 0.067 0.567 0.136
Au2 0.310 0.310 0.619
Au3 0.433 0.933 0.864
Au4 0.500 0.500 0.000
Au5 0.567 0.067 0.136
Au6 0.690 0.690 0.381
Au7 0.933 0.433 0.864
```

Output
Energy = -3.4457 eV/atom
Theoretical density = 11600 kg/m³
E_form (uncorrected) = -102.9 meV per atom
Crystal system = monoclinic
Magnetic moment = 0.00 μB/f.u.